VASP calculation (PBE) on an optimized crystal structure of TmMgZrOs.

Calculated formation energy = -0.198 eV per atom
Calculated total energy = -6.6585 eV per atom
Theoretical density = 9.790 Mg/m³

Lattice parameters (Å, degrees): 4.8470 4.8470 4.8470 60.00 60.00 60.00
Fractional positions:
Tm  0.0000  0.0000  0.0000
Mg  0.7500  0.7500  0.7500
Zr  0.5000  0.5000  0.5000
Os  0.2500  0.2500  0.2500


VASP calculation (PBE) on an optimized crystal structure of RuPbI2Br.

Calculated total energy = -2.8566 eV per atom
Raw formation energy = 67 kJ/mol of atoms
Theoretical density = 4.704 Mg/m³

Lattice parameters (Å, degrees): 6.2847 6.2847 5.7380 90.00 90.00 90.00
Fractional positions:
Ru  0.0000  0.0000  0.0000
Pb  0.5000  0.5000  0.5000
I  0.0000  0.5000  0.5000
I  0.5000  0.0000  0.5000
Br  0.5000  0.5000  0.0000


VASP calculation (PBE) on an optimized crystal structure of KSb2PbAu2.

Calculated total energy = -3.5327 eV per atom
Raw formation energy = -26 kJ/mol of atoms
Theoretical density = 8.038 Mg/m³

Lattice parameters (Å, degrees): 4.6375 4.6375 9.8026 90.00 90.00 120.00
Fractional positions:
K  0.0000  0.0000  0.0000
Sb  0.3333  0.6667  0.2581
Sb  0.6667  0.3333  0.7419
Pb  0.0000  0.0000  0.5000
Au  0.3333  0.6667  0.7035
Au  0.6667  0.3333  0.2965